[1]
Computed, not measured: an optimized crystal structure of TaNiAsPd at the PBE-GGA level of DFT.

- raw total energy (eV per atom) = -6.9683
- total magnetization (μB per formula unit) = 0.0

a b c (Å): 6.219 6.219 6.219
angles (deg): 90.00 90.00 90.00
Space group F-43m (No. 216)
Unique sites:
Ta 0.000 0.000 0.000
Ni 0.000 0.000 0.500
As 0.250 0.250 0.250
Pd 0.250 0.250 0.750

---

[2]
Computed, not measured: an optimized crystal structure of TaNiAsPd at the PBE-GGA level of DFT.

- raw total energy (eV per atom) = -6.7692
- total magnetization (μB per formula unit) = 0.0

a b c (Å): 6.267 6.267 6.267
angles (deg): 90.00 90.00 90.00
Space group F-43m (No. 216)
Unique sites:
Ta 0.000 0.000 0.000
Ni 0.250 0.250 0.750
As 0.000 0.000 0.500
Pd 0.250 0.250 0.250

---

[3]
Computed, not measured: an optimized crystal structure of NiAsPdW at the PBE-GGA level of DFT.

- raw total energy (eV per atom) = -6.6232
- total magnetization (μB per formula unit) = 0.8

a b c (Å): 6.206 6.206 6.206
angles (deg): 90.00 90.00 90.00
Space group F-43m (No. 216)
Unique sites:
Ni 0.000 0.000 0.000
As 0.250 0.250 0.750
Pd 0.000 0.000 0.500
W 0.250 0.250 0.250

---

[4]
Computed, not measured: an optimized crystal structure of YNiAsPd at the PBE-GGA level of DFT.

- raw total energy (eV per atom) = -6.0142
- total magnetization (μB per formula unit) = 0.0

a b c (Å): 6.497 6.497 6.497
angles (deg): 90.00 90.00 90.00
Space group F-43m (No. 216)
Unique sites:
Y 0.000 0.000 0.000
Ni 0.250 0.250 0.750
As 0.000 0.000 0.500
Pd 0.250 0.250 0.250

---

[5]
Computed, not measured: an optimized crystal structure of Zr3Ni3As4Pd at the PBE-GGA level of DFT.

- raw total energy (eV per atom) = -6.8179
- total magnetization (μB per formula unit) = 0.0

a b c (Å): 6.564 3.857 7.411
angles (deg): 90.00 90.08 90.00
Space group Pm (No. 6)
Unique sites:
Zr 0.000 0.000 0.000
Zr 0.059 0.500 0.621
Zr 0.547 0.500 0.490
Ni 0.150 0.500 0.250
Ni 0.368 0.000 0.750
Ni 0.899 0.000 0.367
As 0.269 0.000 0.412
As 0.288 0.500 0.940
As 0.765 0.000 0.674
As 0.775 0.500 0.201
Pd 0.667 0.500 0.879

---

[6]
Computed, not measured: an optimized crystal structure of Zr3Ni2As4Pd2 at the PBE-GGA level of DFT.

- raw total energy (eV per atom) = -6.8111
- total magnetization (μB per formula unit) = 0.0

a b c (Å): 6.615 3.899 7.476
angles (deg): 90.00 91.09 90.00
Space group Pm (No. 6)
Unique sites:
Zr 0.000 0.000 0.000
Zr 0.066 0.500 0.617
Zr 0.554 0.500 0.484
Ni 0.151 0.500 0.251
Ni 0.904 0.000 0.364
As 0.274 0.000 0.401
As 0.286 0.500 0.951
As 0.779 0.000 0.668
As 0.779 0.500 0.197
Pd 0.377 0.000 0.748
Pd 0.675 0.500 0.874

---

[7]
Computed, not measured: an optimized crystal structure of Zr3Ni2As4Pd2 at the PBE-GGA level of DFT.

- raw total energy (eV per atom) = -6.7802
- total magnetization (μB per formula unit) = 0.0

a b c (Å): 6.602 3.886 7.563
angles (deg): 90.00 90.56 90.00
Space group Pm (No. 6)
Unique sites:
Zr 0.000 0.000 0.000
Zr 0.067 0.500 0.373
Zr 0.513 0.000 0.866
Ni 0.698 0.500 0.124
Ni 0.910 0.000 0.623
As 0.302 0.500 0.060
As 0.305 0.000 0.563
As 0.781 0.000 0.315
As 0.785 0.500 0.790
Pd 0.171 0.500 0.744
Pd 0.403 0.000 0.249

---

[8]
Computed, not measured: an optimized crystal structure of Zr3Ni3As4Pd at the PBE-GGA level of DFT.

- raw total energy (eV per atom) = -6.8112
- total magnetization (μB per formula unit) = 0.0

a b c (Å): 6.507 3.855 7.420
angles (deg): 90.00 90.42 90.00
Space group Pm (No. 6)
Unique sites:
Zr 0.000 0.000 0.000
Zr 0.056 0.500 0.371
Zr 0.509 0.000 0.860
Ni 0.395 0.000 0.236
Ni 0.683 0.500 0.123
Ni 0.907 0.000 0.620
As 0.305 0.500 0.070
As 0.311 0.000 0.543
As 0.759 0.000 0.312
As 0.783 0.500 0.786
Pd 0.176 0.500 0.742

---

[9]
Computed, not measured: an optimized crystal structure of Zr3Ni2As4Pd2 at the PBE-GGA level of DFT.

- raw total energy (eV per atom) = -6.8007
- total magnetization (μB per formula unit) = 0.0

a b c (Å): 6.528 3.882 7.587
angles (deg): 90.00 91.22 90.00
Space group Pm (No. 6)
Unique sites:
Zr 0.000 0.000 0.000
Zr 0.062 0.500 0.368
Zr 0.501 0.000 0.865
Ni 0.389 0.000 0.238
Ni 0.678 0.500 0.126
As 0.302 0.500 0.071
As 0.319 0.000 0.543
As 0.759 0.000 0.298
As 0.777 0.500 0.812
Pd 0.181 0.500 0.742
Pd 0.896 0.000 0.614

---

[10]
Computed, not measured: an optimized crystal structure of Zr3Ni2As4Pd2 at the PBE-GGA level of DFT.

- raw total energy (eV per atom) = -6.7941
- total magnetization (μB per formula unit) = 0.0

a b c (Å): 6.580 3.891 7.605
angles (deg): 90.00 90.65 90.00
Space group Pm (No. 6)
Unique sites:
Zr 0.000 0.000 0.000
Zr 0.063 0.500 0.373
Zr 0.504 0.000 0.873
Ni 0.167 0.500 0.744
Ni 0.685 0.500 0.130
As 0.292 0.000 0.577
As 0.293 0.500 0.052
As 0.770 0.000 0.302
As 0.784 0.500 0.815
Pd 0.385 0.000 0.258
Pd 0.897 0.000 0.621

---

[11]
Computed, not measured: an optimized crystal structure of Zr3Ni3As4Pd at the PBE-GGA level of DFT.

- raw total energy (eV per atom) = -6.8195
- total magnetization (μB per formula unit) = 0.0

a b c (Å): 6.521 3.874 7.366
angles (deg): 90.00 91.07 90.00
Space group Pm (No. 6)
Unique sites:
Zr 0.000 0.000 0.000
Zr 0.062 0.500 0.620
Zr 0.552 0.500 0.481
Ni 0.145 0.500 0.250
Ni 0.675 0.500 0.865
Ni 0.893 0.000 0.365
As 0.270 0.000 0.400
As 0.297 0.500 0.954
As 0.766 0.500 0.181
As 0.772 0.000 0.681
Pd 0.384 0.000 0.753

---

[12]
Computed, not measured: an optimized crystal structure of Zr3Ni2As4Pd2 at the PBE-GGA level of DFT.

- raw total energy (eV per atom) = -6.7811
- total magnetization (μB per formula unit) = 0.0

a b c (Å): 6.559 3.903 7.559
angles (deg): 90.00 90.27 90.00
Space group Pm (No. 6)
Unique sites:
Zr 0.000 0.000 0.000
Zr 0.069 0.500 0.630
Zr 0.567 0.500 0.488
Ni 0.686 0.500 0.868
Ni 0.890 0.000 0.372
As 0.281 0.000 0.433
As 0.303 0.500 0.949
As 0.760 0.500 0.182
As 0.779 0.000 0.686
Pd 0.155 0.500 0.253
Pd 0.395 0.000 0.760

---

[13]
Computed, not measured: an optimized crystal structure of Zr3Ni3As4Pd at the PBE-GGA level of DFT.

- raw total energy (eV per atom) = -6.8101
- total magnetization (μB per formula unit) = 0.0

a b c (Å): 6.483 3.862 7.489
angles (deg): 90.00 90.61 90.00
Space group Pm (No. 6)
Unique sites:
Zr 0.000 0.000 0.000
Zr 0.058 0.500 0.369
Zr 0.501 0.000 0.865
Ni 0.174 0.500 0.743
Ni 0.382 0.000 0.242
Ni 0.673 0.500 0.128
As 0.297 0.500 0.062
As 0.303 0.000 0.555
As 0.752 0.000 0.301
As 0.783 0.500 0.811
Pd 0.901 0.000 0.618

---

[14]
Computed, not measured: an optimized crystal structure of Zr3Ni2As4Pd2 at the PBE-GGA level of DFT.

- raw total energy (eV per atom) = -6.7949
- total magnetization (μB per formula unit) = 0.0

a b c (Å): 6.563 3.890 7.470
angles (deg): 90.00 90.40 90.00
Space group Pm (No. 6)
Unique sites:
Zr 0.000 0.000 0.000
Zr 0.062 0.500 0.626
Zr 0.554 0.500 0.480
Ni 0.150 0.500 0.251
Ni 0.670 0.500 0.859
As 0.279 0.000 0.401
As 0.294 0.500 0.953
As 0.751 0.500 0.168
As 0.768 0.000 0.693
Pd 0.378 0.000 0.749
Pd 0.885 0.000 0.368

---

[15]
Computed, not measured: an optimized crystal structure of ZrNiAsPd at the PBE-GGA level of DFT.

- raw total energy (eV per atom) = -6.4021
- total magnetization (μB per formula unit) = 0.0

a b c (Å): 6.363 6.363 6.363
angles (deg): 90.00 90.00 90.00
Space group F-43m (No. 216)
Unique sites:
Zr 0.000 0.000 0.000
Ni 0.250 0.250 0.750
As 0.000 0.000 0.500
Pd 0.250 0.250 0.250

---

[16]
Computed, not measured: an optimized crystal structure of Pm3Ni4As4 at the PBE-GGA level of DFT.

- raw total energy (eV per atom) = -5.9653
- total magnetization (μB per formula unit) = 0.0

a b c (Å): 4.064 4.096 24.038
angles (deg): 90.00 90.00 90.00
Space group Immm (No. 71)
Unique sites:
Pm 0.000 0.000 0.000
Pm 0.000 0.500 0.152
Ni 0.000 0.000 0.250
Ni 0.000 0.500 0.403
As 0.000 0.000 0.445
As 0.000 0.500 0.305

---

[17]
Computed, not measured: an optimized crystal structure of PrNi4As2 at the PBE-GGA level of DFT.

- raw total energy (eV per atom) = -5.7812
- total magnetization (μB per formula unit) = 0.0

a b c (Å): 7.369 7.369 3.804
angles (deg): 90.00 90.00 90.00
Space group P4_2/mnm (No. 136)
Unique sites:
Pr 0.000 0.000 0.000
Ni 0.087 0.348 0.500
As 0.220 0.780 0.500

---

[18]
Computed, not measured: an optimized crystal structure of Pr2Ni12As7 at the PBE-GGA level of DFT.

- raw total energy (eV per atom) = -5.7267
- total magnetization (μB per formula unit) = 0.0

a b c (Å): 9.3924 9.3924 3.8983
angles (deg): 90.00 90.00 120.00
Space group P-6 (No. 174)
Unique sites:
Pr 0.0000 0.0000 0.0000
Pr 0.3333 0.6667 0.5000
Ni 0.0408 0.7562 0.5000
Ni 0.1033 0.3907 0.0000
Ni 0.3887 0.2020 0.0000
Ni 0.5576 0.1274 0.5000
As 0.0657 0.6223 0.0000
As 0.2664 0.0338 0.5000
As 0.6667 0.3333 0.0000

---

[19]
Computed, not measured: an optimized crystal structure of PrNi2As2 at the PBE-GGA level of DFT.

- raw total energy (eV per atom) = -5.8541
- total magnetization (μB per formula unit) = 0.0

a b c (Å): 4.112 4.112 10.143
angles (deg): 90.00 90.00 90.00
Space group I4/mmm (No. 139)
Unique sites:
Pr 0.000 0.000 0.000
Ni 0.000 0.500 0.250
As 0.000 0.000 0.367

---

[20]
Computed, not measured: an optimized crystal structure of SrPrNi2As2 at the PBE-GGA level of DFT.

- raw total energy (eV per atom) = -5.4068
- total magnetization (μB per formula unit) = 0.0

a b c (Å): 4.1127 4.1127 8.4915
angles (deg): 90.00 90.00 120.00
Space group P-3m1 (No. 164)
Unique sites:
Sr 0.0000 0.0000 0.0000
Pr 0.0000 0.0000 0.5000
Ni 0.3333 0.6667 0.2634
As 0.3333 0.6667 0.7403

---

[21]
Computed, not measured: an optimized crystal structure of NiAs2Pt at the PBE-GGA level of DFT.

- raw total energy (eV per atom) = -5.3798
- total magnetization (μB per formula unit) = 0.0

a b c (Å): 5.302 3.684 13.695
angles (deg): 90.00 90.00 90.00
Space group Pnma (No. 62)
Unique sites:
Ni 0.002 0.250 0.099
As 0.189 0.250 0.801
As 0.245 0.250 0.545
Pt 0.014 0.250 0.377

---

[22]
Computed, not measured: an optimized crystal structure of RbNiAs2Pt at the PBE-GGA level of DFT.

- raw total energy (eV per atom) = -4.8188
- total magnetization (μB per formula unit) = 0.0

a b c (Å): 5.549 6.705 6.824
angles (deg): 90.00 109.10 90.00
Space group C2 (No. 5)
Unique sites:
Rb 0.000 0.000 0.000
Ni 0.000 0.205 0.500
As 0.121 0.496 0.341
Pt 0.000 0.798 0.500

---

[23]
Computed, not measured: an optimized crystal structure of ReNiAsPt at the PBE-GGA level of DFT.

- raw total energy (eV per atom) = -6.6481
- total magnetization (μB per formula unit) = 1.7

a b c (Å): 6.211 6.211 6.211
angles (deg): 90.00 90.00 90.00
Space group F-43m (No. 216)
Unique sites:
Re 0.000 0.000 0.000
Ni 0.250 0.250 0.750
As 0.000 0.000 0.500
Pt 0.250 0.250 0.250